(1)
{"formula": "Th2AgPb", "functional": "PBE", "state": "optimized geometry", "n_ef_per_ev_atom": 1.146, "formation_energy_mev_per_atom": -154, "cell": [[4.9720, 0.0000, 0.0000], [0.0000, 4.9720, 0.0000], [0.0000, 0.0000, 4.5241]], "species": ["Th", "Th", "Ag", "Pb"], "frac_coords": [[0.0000, 0.5000, 0.0000], [0.5000, 0.0000, 0.0000], [0.0000, 0.0000, 0.5000], [0.5000, 0.5000, 0.5000]]}

***

(2)
{"formula": "PdSeN2", "functional": "PBE", "state": "optimized geometry", "n_ef_per_ev_atom": 0.155, "formation_energy_uncorrected_ev_per_atom": -0.102, "cell": [[3.3692, 0.0000, 0.0000], [0.0000, 5.5768, 0.0000], [-1.6323, -0.0759, 11.8567]], "species": ["Pd", "Pd", "Se", "Se", "N", "N", "N", "N"], "frac_coords": [[0.0000, 0.0000, 0.0000], [0.0000, 0.5000, 0.0000], [0.4485, 0.2485, 0.8937], [0.5515, 0.7515, 0.1063], [0.3019, 0.8513, 0.6111], [0.3040, 0.6516, 0.6117], [0.6960, 0.3484, 0.3883], [0.6981, 0.1487, 0.3889]]}

***

(3)
{"formula": "NaSrLi2O", "functional": "PBE", "state": "optimized geometry", "n_ef_per_ev_atom": 0.964, "formation_energy_uncorrected_ev_per_atom": -0.112, "cell": [[5.0170, 0.0000, 0.0000], [0.0000, 5.0170, 0.0000], [0.0000, 0.0000, 4.5988]], "species": ["Na", "Sr", "Li", "Li", "O"], "frac_coords": [[0.0000, 0.0000, 0.0000], [0.5000, 0.5000, 0.5000], [0.0000, 0.5000, 0.0000], [0.5000, 0.0000, 0.0000], [0.0000, 0.0000, 0.5000]]}

***

(4)
{"formula": "MnNb2Ir9", "functional": "PBE", "state": "optimized geometry", "n_ef_per_ev_atom": 0.872, "formation_energy_mev_per_atom": -268, "cell": [[4.7798, 0.0000, 0.0000], [-1.5469, 5.9751, 0.0000], [-0.0234, -2.5584, 6.2756]], "species": ["Mn", "Nb", "Nb", "Ir", "Ir", "Ir", "Ir", "Ir", "Ir", "Ir", "Ir", "Ir"], "frac_coords": [[0.0000, 0.0000, 0.0000], [0.0909, 0.7689, 0.5870], [0.9091, 0.2311, 0.4130], [0.1681, 0.4977, 0.1657], [0.2532, 0.2583, 0.7479], [0.3264, 0.9952, 0.3221], [0.4117, 0.7577, 0.9163], [0.5000, 0.5000, 0.5000], [0.5883, 0.2423, 0.0837], [0.6736, 0.0048, 0.6779], [0.7468, 0.7417, 0.2521], [0.8319, 0.5023, 0.8343]]}

***

(5)
{"formula": "SrCd3S4", "functional": "PBE", "state": "optimized geometry", "formation_energy_uncorrected_ev_per_atom": -0.888, "cell": [[2.0027, 1.1563, 12.8640], [-2.0027, 1.1563, 12.8640], [0.0000, -2.3126, 12.8640]], "species": ["Sr", "Cd", "Cd", "Cd", "S", "S", "S", "S"], "frac_coords": [[0.0000, 0.0000, 0.0000], [0.2470, 0.2470, 0.2470], [0.5000, 0.5000, 0.5000], [0.7530, 0.7530, 0.7530], [0.1265, 0.1265, 0.1265], [0.3806, 0.3806, 0.3806], [0.6194, 0.6194, 0.6194], [0.8735, 0.8735, 0.8735]]}

***

(6)
{"formula": "InSb2Br2", "functional": "PBE", "state": "optimized geometry", "n_ef_per_ev_atom": 0.928, "formation_energy_uncorrected_ev_per_atom": -0.109, "cell": [[-2.1176, 2.1176, 9.2684], [2.1176, -2.1176, 9.2684], [2.1176, 2.1176, -9.2684]], "species": ["In", "Sb", "Sb", "Br", "Br"], "frac_coords": [[0.0000, 0.0000, 0.0000], [0.2500, 0.7500, 0.5000], [0.7500, 0.2500, 0.5000], [0.4012, 0.4012, 0.0000], [0.5988, 0.5988, 0.0000]]}

***

(7)
{"formula": "Sm3Al2Si3", "functional": "PBE", "state": "optimized geometry", "n_ef_per_ev_atom": 0.534, "formation_energy_uncorrected_ev_per_atom": -0.605, "cell": [[2.1010, -5.4933, 0.0000], [2.1010, 5.4933, 0.0000], [0.0000, 0.0000, 15.2202]], "species": ["Sm", "Sm", "Sm", "Sm", "Sm", "Sm", "Al", "Al", "Al", "Al", "Si", "Si", "Si", "Si", "Si", "Si"], "frac_coords": [[0.0619, 0.9381, 0.7500], [0.3593, 0.6407, 0.5941], [0.3593, 0.6407, 0.9059], [0.6407, 0.3593, 0.0941], [0.6407, 0.3593, 0.4059], [0.9381, 0.0619, 0.2500], [0.3534, 0.6466, 0.1203], [0.3534, 0.6466, 0.3797], [0.6466, 0.3534, 0.6203], [0.6466, 0.3534, 0.8797], [0.0762, 0.9238, 0.5540], [0.0762, 0.9238, 0.9460], [0.2130, 0.7870, 0.2500], [0.7870, 0.2130, 0.7500], [0.9238, 0.0762, 0.0540], [0.9238, 0.0762, 0.4460]]}

***

(8)
{"formula": "RbB2Mo", "functional": "PBE", "state": "optimized geometry", "n_ef_per_ev_atom": 1.696, "formation_energy_mev_per_atom": 2375, "cell": [[0.0000, 3.1429, 3.1429], [3.1429, 0.0000, 3.1429], [3.1429, 3.1429, 0.0000]], "species": ["Rb", "B", "B", "Mo"], "frac_coords": [[0.0000, 0.0000, 0.0000], [0.2500, 0.2500, 0.2500], [0.7500, 0.7500, 0.7500], [0.5000, 0.5000, 0.5000]]}

***

(9)
{"formula": "Cr3Cu2Pd7", "functional": "PBE", "state": "optimized geometry", "n_ef_per_ev_atom": 1.212, "formation_energy_mev_per_atom": 149, "cell": [[2.2563, -14.1678, 0.0000], [2.2563, 14.1678, 0.0000], [0.0000, 0.0000, 2.8805]], "species": ["Cr", "Cr", "Cr", "Cu", "Cu", "Pd", "Pd", "Pd", "Pd", "Pd", "Pd", "Pd"], "frac_coords": [[0.0000, 0.0000, 0.0000], [0.1519, 0.8481, 0.0000], [0.8481, 0.1519, 0.0000], [0.3244, 0.6756, 0.5000], [0.6756, 0.3244, 0.5000], [0.0744, 0.9256, 0.5000], [0.2262, 0.7738, 0.5000], [0.4053, 0.5947, 0.0000], [0.5000, 0.5000, 0.5000], [0.5947, 0.4053, 0.0000], [0.7738, 0.2262, 0.5000], [0.9256, 0.0744, 0.5000]]}

***

(10)
{"formula": "PuFeCoSi3", "functional": "PBE", "state": "optimized geometry", "n_ef_per_ev_atom": 1.953, "formation_energy_uncorrected_ev_per_atom": -0.277, "cell": [[3.4878, -5.2501, 0.0000], [3.4878, 5.2501, 0.0000], [0.0000, 0.0000, 5.3884]], "species": ["Pu", "Pu", "Fe", "Fe", "Co", "Co", "Si", "Si", "Si", "Si", "Si", "Si"], "frac_coords": [[0.2472, 0.7528, 0.7500], [0.7528, 0.2472, 0.2500], [0.0513, 0.9487, 0.2500], [0.9487, 0.0513, 0.7500], [0.4509, 0.5491, 0.2500], [0.5491, 0.4509, 0.7500], [0.2499, 0.2499, 0.0000], [0.2499, 0.2499, 0.5000], [0.2519, 0.7481, 0.2500], [0.7481, 0.2519, 0.7500], [0.7501, 0.7501, 0.0000], [0.7501, 0.7501, 0.5000]]}

***

(11)
{"formula": "Y3Al5", "functional": "PBE", "state": "optimized geometry", "n_ef_per_ev_atom": 0.486, "formation_energy_mev_per_atom": -353, "cell": [[4.3100, -4.4951, 0.0000], [4.3100, 4.4951, 0.0000], [0.0000, 0.0000, 4.5026]], "species": ["Y", "Y", "Y", "Al", "Al", "Al", "Al", "Al"], "frac_coords": [[0.0000, 0.0000, 0.0000], [0.2717, 0.7283, 0.5000], [0.7283, 0.2717, 0.5000], [0.0000, 0.5000, 0.0000], [0.2415, 0.2415, 0.5000], [0.5000, 0.0000, 0.0000], [0.5000, 0.5000, 0.0000], [0.7585, 0.7585, 0.5000]]}

***

(12)
{"formula": "HgAu", "functional": "PBE", "state": "optimized geometry", "n_ef_per_ev_atom": 0.396, "formation_energy_mev_per_atom": 115, "cell": [[0.0000, 4.0562, 7.4064], [3.2640, 0.0000, 7.4064], [3.2640, 4.0562, 0.0000]], "species": ["Hg", "Hg", "Hg", "Hg", "Au", "Au", "Au", "Au"], "frac_coords": [[0.0498, 0.7002, 0.0498], [0.2998, 0.9502, 0.2998], [0.7002, 0.0498, 0.7002], [0.9502, 0.2998, 0.9502], [0.2814, 0.2814, 0.4686], [0.4686, 0.4686, 0.2814], [0.5314, 0.5314, 0.7186], [0.7186, 0.7186, 0.5314]]}

***

(13)
{"formula": "PbSe3O", "functional": "PBE", "state": "optimized geometry", "n_ef_per_ev_atom": 4.515, "formation_energy_uncorrected_ev_per_atom": 1.322, "cell": [[5.4590, 0.0000, 0.0000], [0.0000, 5.4590, 0.0000], [0.0000, 0.0000, 5.4590]], "species": ["Pb", "Se", "Se", "Se", "O"], "frac_coords": [[0.0000, 0.0000, 0.0000], [0.0000, 0.0000, 0.5000], [0.0000, 0.5000, 0.0000], [0.5000, 0.0000, 0.0000], [0.5000, 0.5000, 0.5000]]}

***

(14)
{"formula": "Dy5Ga2Rh2", "functional": "PBE", "state": "optimized geometry", "n_ef_per_ev_atom": 0.851, "formation_energy_mev_per_atom": -613, "cell": [[7.6505, -3.8013, 0.0000], [7.6505, 3.8013, 0.0000], [0.0000, 0.0000, 7.4118]], "species": ["Dy", "Dy", "Dy", "Dy", "Dy", "Dy", "Dy", "Dy", "Dy", "Dy", "Ga", "Ga", "Ga", "Ga", "Rh", "Rh", "Rh", "Rh"], "frac_coords": [[0.0000, 0.0000, 0.0000], [0.0448, 0.6951, 0.6675], [0.1951, 0.5448, 0.1675], [0.3049, 0.9552, 0.6675], [0.4552, 0.8049, 0.1675], [0.5000, 0.5000, 0.5000], [0.5448, 0.1951, 0.8325], [0.6951, 0.0448, 0.3325], [0.8049, 0.4552, 0.8325], [0.9552, 0.3049, 0.3325], [0.2119, 0.2119, 0.0000], [0.2881, 0.2881, 0.5000], [0.7119, 0.7119, 0.5000], [0.7881, 0.7881, 0.0000], [0.1309, 0.8691, 0.3689], [0.3691, 0.6309, 0.8689], [0.6309, 0.3691, 0.1311], [0.8691, 0.1309, 0.6311]]}

***

(15)
{"formula": "CsRbPdSe2", "functional": "PBE", "state": "optimized geometry", "formation_energy_uncorrected_ev_per_atom": -0.795, "cell": [[6.0873, 0.0000, 0.0000], [0.0000, 8.0330, 0.0000], [0.0000, 0.0000, 7.1279]], "species": ["Cs", "Cs", "Rb", "Rb", "Pd", "Pd", "Se", "Se", "Se", "Se"], "frac_coords": [[0.2500, 0.0000, 0.2109], [0.7500, 0.0000, 0.7891], [0.2500, 0.5000, 0.3972], [0.7500, 0.5000, 0.6028], [0.0000, 0.5000, 0.0000], [0.5000, 0.5000, 0.0000], [0.2500, 0.2917, 0.8367], [0.2500, 0.7083, 0.8367], [0.7500, 0.2917, 0.1633], [0.7500, 0.7083, 0.1633]]}

***

(16)
{"formula": "LiIn2O", "functional": "PBE", "state": "optimized geometry", "n_ef_per_ev_atom": 0.376, "formation_energy_uncorrected_ev_per_atom": -0.568, "cell": [[-3.5621, 3.5621, 2.9840], [3.5621, -3.5621, 2.9840], [3.5621, 3.5621, -2.9840]], "species": ["Li", "Li", "In", "In", "In", "In", "O", "O"], "frac_coords": [[0.0000, 0.0000, 0.0000], [0.7500, 0.2500, 0.5000], [0.1893, 0.6250, 0.0643], [0.3750, 0.4393, 0.5643], [0.5607, 0.1250, 0.9357], [0.8750, 0.8107, 0.4357], [0.2500, 0.7500, 0.5000], [0.5000, 0.5000, 0.0000]]}

***

(17)
{"formula": "Pm14YTm", "functional": "PBE", "state": "optimized geometry", "n_ef_per_ev_atom": 1.501, "formation_energy_mev_per_atom": 15, "cell": [[7.2816, 0.0000, 0.0000], [0.0000, 7.2816, 0.0000], [0.0000, 0.0000, 10.2631]], "species": ["Pm", "Pm", "Pm", "Pm", "Pm", "Pm", "Pm", "Pm", "Pm", "Pm", "Pm", "Pm", "Pm", "Pm", "Y", "Tm"], "frac_coords": [[0.0000, 0.0000, 0.0000], [0.0000, 0.5000, 0.0000], [0.0000, 0.5000, 0.5000], [0.2494, 0.2494, 0.2519], [0.2494, 0.2494, 0.7481], [0.2494, 0.7506, 0.2519], [0.2494, 0.7506, 0.7481], [0.5000, 0.0000, 0.0000], [0.5000, 0.0000, 0.5000], [0.5000, 0.5000, 0.0000], [0.7506, 0.2494, 0.2519], [0.7506, 0.2494, 0.7481], [0.7506, 0.7506, 0.2519], [0.7506, 0.7506, 0.7481], [0.5000, 0.5000, 0.5000], [0.0000, 0.0000, 0.5000]]}

***

(18)
{"formula": "CsZn2Hg2", "functional": "PBE", "state": "optimized geometry", "n_ef_per_ev_atom": 0.399, "formation_energy_mev_per_atom": 69, "cell": [[8.8898, 0.0000, 0.0000], [0.0000, 8.8898, 0.0000], [0.0000, 0.0000, 3.7385]], "species": ["Cs", "Cs", "Zn", "Zn", "Zn", "Zn", "Hg", "Hg", "Hg", "Hg"], "frac_coords": [[0.0000, 0.0000, 0.0000], [0.5000, 0.5000, 0.0000], [0.1068, 0.3932, 0.0000], [0.3932, 0.8932, 0.0000], [0.6068, 0.1068, 0.0000], [0.8932, 0.6068, 0.0000], [0.1713, 0.6713, 0.5000], [0.3287, 0.1713, 0.5000], [0.6713, 0.8287, 0.5000], [0.8287, 0.3287, 0.5000]]}

***

(19)
{"formula": "La2HgBr2", "functional": "PBE", "state": "optimized geometry", "n_ef_per_ev_atom": 1.041, "formation_energy_uncorrected_ev_per_atom": -0.977, "cell": [[8.6993, 0.0000, 0.0000], [0.0000, 8.6993, 0.0000], [0.0000, 0.0000, 3.8526]], "species": ["La", "La", "La", "La", "Hg", "Hg", "Br", "Br", "Br", "Br"], "frac_coords": [[0.1655, 0.3345, 0.0000], [0.3345, 0.8345, 0.0000], [0.6655, 0.1655, 0.0000], [0.8345, 0.6655, 0.0000], [0.0000, 0.0000, 0.0000], [0.5000, 0.5000, 0.0000], [0.1304, 0.6304, 0.5000], [0.3696, 0.1304, 0.5000], [0.6304, 0.8696, 0.5000], [0.8696, 0.3696, 0.5000]]}

***

(20)
{"formula": "Nd2ZnRh", "functional": "PBE", "state": "optimized geometry", "n_ef_per_ev_atom": 0.620, "formation_energy_mev_per_atom": -480, "cell": [[3.6350, 0.0000, 0.0000], [0.0000, 3.6350, 0.0000], [0.0000, 0.0000, 7.1385]], "species": ["Nd", "Nd", "Zn", "Rh"], "frac_coords": [[0.0000, 0.0000, 0.2374], [0.0000, 0.0000, 0.7626], [0.5000, 0.5000, 0.5000], [0.5000, 0.5000, 0.0000]]}

***

(21)
{"formula": "Pr2Dy7Ho", "functional": "PBE", "state": "optimized geometry", "n_ef_per_ev_atom": 1.580, "formation_energy_mev_per_atom": 155, "cell": [[3.2629, -14.4577, 0.0000], [3.2629, 14.4577, 0.0000], [0.0000, 0.0000, 3.5139]], "species": ["Pr", "Pr", "Dy", "Dy", "Dy", "Dy", "Dy", "Dy", "Dy", "Ho"], "frac_coords": [[0.2072, 0.7928, 0.0000], [0.7928, 0.2072, 0.0000], [0.0000, 0.0000, 0.0000], [0.1572, 0.3519, 0.0000], [0.3156, 0.6844, 0.5000], [0.3519, 0.1572, 0.0000], [0.6481, 0.8428, 0.0000], [0.6844, 0.3156, 0.5000], [0.8428, 0.6481, 0.0000], [0.5000, 0.5000, 0.5000]]}

***

(22)
{"formula": "Rb4HAuBr2", "functional": "PBE", "state": "optimized geometry", "n_ef_per_ev_atom": 0.000, "cell": [[8.3899, 0.0000, 0.0000], [0.0000, 4.8308, 0.0000], [-2.7679, 0.0000, 7.9489]], "species": ["Rb", "Rb", "Rb", "Rb", "H", "Au", "Br", "Br"], "frac_coords": [[0.2355, 0.0000, 0.2333], [0.2428, 0.5000, 0.7629], [0.7572, 0.5000, 0.2371], [0.7645, 0.0000, 0.7667], [0.0000, 0.5000, 0.0000], [0.0000, 0.0000, 0.5000], [0.5000, 0.0000, 0.0000], [0.5000, 0.5000, 0.5000]]}

***

For reference, energy by record: -5.50; -6.43; -2.47; -9.36; -3.50; -2.98; -5.34; -3.91; -5.97; -7.97; -5.12; -1.67; -2.50; -5.48; -3.59; -3.65; -4.83; -0.73; -3.68; -5.02; -4.48; -2.69 eV/atom.